(1)
! Sr2Mg5Pb4 (PBE, optimized geometry); values from VASP
&SYSTEM
  ibrav = 0, nat = 11, ntyp = 3
/
ATOMIC_SPECIES
Sr 87.62 Sr.upf
Mg 24.30 Mg.upf
Pb 207.20 Pb.upf
CELL_PARAMETERS angstrom
0.0000 6.0645 8.6724
3.2467 0.0000 8.6724
3.2467 6.0645 0.0000
ATOMIC_POSITIONS angstrom
Sr 3.2467 6.0645 2.5426
Sr 3.2467 6.0645 14.8022
Mg 1.6234 3.0322 0.0000
Mg 1.6234 3.0322 4.3362
Mg 1.6234 3.0322 8.6724
Mg 3.2467 6.0645 8.6724
Mg 4.8701 9.0967 13.0086
Pb 3.2467 4.3898 6.3295
Pb 3.2467 4.3898 11.0153
Pb 3.2467 7.7391 6.3295
Pb 3.2467 7.7391 11.0153
! M_tot: 0.000 μB per atom
! Energy: -2.531 eV per atom
! V: 31.05 Å³/atom
! Space group: Fmmm, No. 69
! ΔE_f: -0.15 eV per atom

(2)
! SrMg2Pb2 (PBE, optimized geometry); values from VASP
&SYSTEM
  ibrav = 0, nat = 10, ntyp = 3
/
ATOMIC_SPECIES
Sr 87.62 Sr.upf
Mg 24.30 Mg.upf
Pb 207.20 Pb.upf
CELL_PARAMETERS angstrom
8.8785 0.0000 0.0000
0.0000 8.8785 0.0000
0.0000 0.0000 3.6290
ATOMIC_POSITIONS angstrom
Sr 0.0000 0.0000 0.0000
Sr 4.4393 4.4393 0.0000
Mg 1.0728 3.3665 0.0000
Mg 3.3665 7.8057 0.0000
Mg 5.5120 1.0728 0.0000
Mg 7.8057 5.5120 0.0000
Pb 1.5431 5.9824 1.8145
Pb 2.8961 1.5431 1.8145
Pb 5.9824 7.3354 1.8145
Pb 7.3354 2.8961 1.8145
! M_tot: 0.000 μB per atom
! Energy: -2.669 eV per atom
! V: 28.61 Å³/atom
! Space group: P4/mbm, No. 127
! ΔE_f: -0.21 eV per atom

(3)
! SrMgPb2 (PBE, optimized geometry); values from VASP
&SYSTEM
  ibrav = 0, nat = 8, ntyp = 3
/
ATOMIC_SPECIES
Sr 87.62 Sr.upf
Mg 24.30 Mg.upf
Pb 207.20 Pb.upf
CELL_PARAMETERS angstrom
-2.6685 2.6685 10.0803
2.6685 -2.6685 10.0803
2.6685 2.6685 -10.0803
ATOMIC_POSITIONS angstrom
Sr 0.0000 0.0000 0.0000
Sr 0.0000 2.6685 5.0401
Mg 2.6685 0.0000 5.0401
Mg 0.0000 0.0000 10.0803
Pb 1.3342 -0.9477 7.5602
Pb 1.7208 1.3342 2.5201
Pb 1.3342 3.6162 -2.5201
Pb 0.9477 1.3342 12.6003
! M_tot: 0.000 μB per atom
! Energy: -2.798 eV per atom
! V: 35.89 Å³/atom
! Space group: I-42d, No. 122
! ΔE_f: -0.12 eV per atom

(4)
! SrMgPb2 (PBE, optimized geometry); values from VASP
&SYSTEM
  ibrav = 0, nat = 8, ntyp = 3
/
ATOMIC_SPECIES
Sr 87.62 Sr.upf
Mg 24.30 Mg.upf
Pb 207.20 Pb.upf
CELL_PARAMETERS angstrom
5.3857 0.0000 0.0000
-2.6929 4.6642 0.0000
0.0000 0.0000 10.6065
ATOMIC_POSITIONS angstrom
Sr 0.0000 0.0000 2.0766
Sr 0.0000 0.0000 8.5299
Mg 0.0000 3.1094 6.5286
Mg 2.6929 1.5547 4.0779
Pb 0.0000 3.1094 0.0943
Pb 0.0000 3.1094 3.4558
Pb 2.6929 1.5547 7.1508
Pb 2.6929 1.5547 10.5122
! M_tot: 0.000 μB per atom
! Energy: -2.929 eV per atom
! V: 33.30 Å³/atom
! Space group: P-3m1, No. 164
! ΔE_f: -0.26 eV per atom

(5)
! SrMg3Pb3 (PBE, optimized geometry); values from VASP
&SYSTEM
  ibrav = 0, nat = 14, ntyp = 3
/
ATOMIC_SPECIES
Sr 87.62 Sr.upf
Mg 24.30 Mg.upf
Pb 207.20 Pb.upf
CELL_PARAMETERS angstrom
4.3925 2.5360 6.6200
-4.3925 2.5360 6.6200
0.0000 -5.0720 6.6200
ATOMIC_POSITIONS angstrom
Sr 0.0000 0.0000 3.2951
Sr 0.0000 0.0000 16.5649
Mg -1.5589 -2.6825 7.6236
Mg -3.1025 0.0088 12.2365
Mg -1.5436 2.6913 7.6236
Mg 1.5436 -2.6913 12.2365
Mg 3.1025 -0.0088 7.6236
Mg 1.5589 2.6825 12.2365
Pb -2.5646 -0.0024 8.6416
Pb -1.2803 -2.2222 11.2185
Pb 1.2844 -2.2198 8.6415
Pb -1.2844 2.2198 11.2185
Pb 1.2803 2.2222 8.6415
Pb 2.5646 0.0024 11.2185
! M_tot: 0.000 μB per atom
! Offset from the most stable computed form: 0.000 eV/atom
! Energy: -2.562 eV per atom
! V: 31.60 Å³/atom
! Space group: R-3, No. 148
! ΔE_f: -0.05 eV per atom

(6)
! SrMgPb (PBE, optimized geometry); values from VASP
&SYSTEM
  ibrav = 0, nat = 12, ntyp = 3
/
ATOMIC_SPECIES
Sr 87.62 Sr.upf
Mg 24.30 Mg.upf
Pb 207.20 Pb.upf
CELL_PARAMETERS angstrom
8.2876 0.0000 0.0000
0.0000 4.9691 0.0000
0.0000 0.0000 9.0532
ATOMIC_POSITIONS angstrom
Sr 0.1002 1.2423 1.7160
Sr 4.0436 3.7269 6.2426
Sr 4.2440 1.2423 2.8106
Sr 8.1874 3.7269 7.3372
Mg 1.2251 1.2423 5.1237
Mg 2.9187 3.7269 0.5972
Mg 5.3690 1.2423 8.4560
Mg 7.0625 3.7269 3.9294
Pb 1.8607 3.7269 3.5383
Pb 2.2831 1.2423 8.0649
Pb 6.0045 3.7269 0.9883
Pb 6.4269 1.2423 5.5149
! M_tot: 0.000 μB per atom
! Energy: -2.791 eV per atom
! V: 31.07 Å³/atom
! Space group: Pnma, No. 62
! ΔE_f: -0.46 eV per atom

(7)
! SrMgPb2 (PBE, optimized geometry); values from VASP
&SYSTEM
  ibrav = 0, nat = 4, ntyp = 3
/
ATOMIC_SPECIES
Sr 87.62 Sr.upf
Mg 24.30 Mg.upf
Pb 207.20 Pb.upf
CELL_PARAMETERS angstrom
-1.8631 2.9563 6.2963
1.8631 -2.9563 6.2963
1.8631 2.9563 -6.2963
ATOMIC_POSITIONS angstrom
Sr 0.0000 0.0000 0.0000
Mg 0.0000 0.0000 6.2963
Pb 0.0000 0.0000 3.4354
Pb 0.0000 0.0000 9.1571
! M_tot: 0.000 μB per atom
! Energy: -2.655 eV per atom
! V: 34.68 Å³/atom
! Space group: Immm, No. 71
! ΔE_f: 0.02 eV per atom

(8)
! SrMgPb2 (PBE, optimized geometry); values from VASP
&SYSTEM
  ibrav = 0, nat = 4, ntyp = 3
/
ATOMIC_SPECIES
Sr 87.62 Sr.upf
Mg 24.30 Mg.upf
Pb 207.20 Pb.upf
CELL_PARAMETERS angstrom
0.0000 3.9972 3.9972
3.9972 0.0000 3.9972
3.9972 3.9972 0.0000
ATOMIC_POSITIONS angstrom
Sr 0.0000 0.0000 0.0000
Mg 1.9986 1.9986 1.9986
Pb 3.9972 3.9972 3.9972
Pb 5.9958 5.9958 5.9958
! M_tot: 0.000 μB per atom
! Energy: -2.859 eV per atom
! V: 31.93 Å³/atom
! Space group: F-43m, No. 216
! ΔE_f: -0.19 eV per atom

(9)
! SrMgPb2 (PBE, optimized geometry); values from VASP
&SYSTEM
  ibrav = 0, nat = 4, ntyp = 3
/
ATOMIC_SPECIES
Sr 87.62 Sr.upf
Mg 24.30 Mg.upf
Pb 207.20 Pb.upf
CELL_PARAMETERS angstrom
3.6132 -4.5194 0.0000
3.6132 4.5194 0.0000
-0.0096 0.0000 3.7629
ATOMIC_POSITIONS angstrom
Sr 0.0000 0.0000 0.0000
Mg 3.6132 0.0000 0.0000
Pb 1.8018 2.2597 1.8814
Pb 1.8018 -2.2597 1.8814
! M_tot: 0.000 μB per atom
! Energy: -2.921 eV per atom
! V: 30.72 Å³/atom
! Space group: C2/m, No. 12
! ΔE_f: -0.25 eV per atom

(10)
! SrMgPb2 (PBE, optimized geometry); values from VASP
&SYSTEM
  ibrav = 0, nat = 4, ntyp = 3
/
ATOMIC_SPECIES
Sr 87.62 Sr.upf
Mg 24.30 Mg.upf
Pb 207.20 Pb.upf
CELL_PARAMETERS angstrom
4.9214 -2.0683 0.0000
4.9214 2.0683 0.0000
-1.6124 0.0000 6.2775
ATOMIC_POSITIONS angstrom
Sr 0.0000 0.0000 0.0000
Mg 4.1152 0.0000 3.1388
Pb 1.2507 0.0000 4.3388
Pb 6.9797 0.0000 1.9387
! M_tot: 0.000 μB per atom
! Energy: -2.954 eV per atom
! V: 31.95 Å³/atom
! Space group: C2/m, No. 12
! ΔE_f: -0.28 eV per atom

(11)
! SrMg5Pb7 (PBE, optimized geometry); values from VASP
&SYSTEM
  ibrav = 0, nat = 13, ntyp = 3
/
ATOMIC_SPECIES
Sr 87.62 Sr.upf
Mg 24.30 Mg.upf
Pb 207.20 Pb.upf
CELL_PARAMETERS angstrom
-3.1250 5.4751 5.4235
3.1250 -5.4751 5.4235
3.1250 5.4751 -5.4235
ATOMIC_POSITIONS angstrom
Sr 0.0000 0.0000 0.0000
Mg 1.5675 2.7388 2.6875
Mg 4.6825 2.7388 2.6875
Mg 0.0000 5.4751 2.9033
Mg -1.5575 2.7362 8.1110
Mg 1.5575 2.7362 8.1110
Pb 3.1250 2.1155 -0.1062
Pb 3.1250 0.0000 2.4761
Pb 0.0000 3.7330 0.0699
Pb 0.0000 0.0000 3.8543
Pb 0.0000 0.0000 7.2122
Pb 0.0000 7.2172 0.0699
Pb 0.0000 3.3596 5.3174
! M_tot: 0.000 μB per atom
! Energy: -2.857 eV per atom
! V: 28.55 Å³/atom
! Space group: Imm2, No. 44
! ΔE_f: -0.12 eV per atom

(12)
! SrMgPb2 (PBE, optimized geometry); values from VASP
&SYSTEM
  ibrav = 0, nat = 4, ntyp = 3
/
ATOMIC_SPECIES
Sr 87.62 Sr.upf
Mg 24.30 Mg.upf
Pb 207.20 Pb.upf
CELL_PARAMETERS angstrom
5.0317 0.0000 0.0000
0.0000 5.0317 0.0000
0.0000 0.0000 4.7517
ATOMIC_POSITIONS angstrom
Sr 0.0000 0.0000 0.0000
Mg 2.5159 2.5159 0.0000
Pb 0.0000 2.5159 2.3758
Pb 2.5159 0.0000 2.3758
! M_tot: 0.000 μB per atom
! Energy: -2.990 eV per atom
! V: 30.08 Å³/atom
! Space group: P4/mmm, No. 123
! ΔE_f: -0.32 eV per atom